[1]
Below is crystalline Pr2DyMg at its relaxed geometry, with properties calculated at the PBE level.

Cell lengths 5.643, 5.643, 5.643 Å; angles 60.00, 60.00, 60.00 degrees
Fractional positions:
Pr  0.250  0.250  0.250
Pr  0.750  0.750  0.750
Dy  0.000  0.000  0.000
Mg  0.500  0.500  0.500

Calculated values
density of states at the Fermi level	1.152	states/eV per atom
symmetry	No. 225
formation energy	0.018	eV per atom
relative energy among the computed polymorphs	0.0501	eV/atom

=====

[2]
Below is crystalline TmNiAgPd at its relaxed geometry, with properties calculated at the PBE level.

Cell lengths 4.611, 4.611, 4.611 Å; angles 60.00, 60.00, 60.00 degrees
Fractional positions:
Tm  0.000  0.000  0.000
Ni  0.750  0.750  0.750
Ag  0.500  0.500  0.500
Pd  0.250  0.250  0.250

Calculated values
density of states at the Fermi level	0.638	states/eV per atom
symmetry	No. 216
formation energy	-0.398	eV per atom

=====

[3]
Below is crystalline Pr4Ni2Hg at its relaxed geometry, with properties calculated at the PBE level.

Cell lengths 9.943, 9.943, 9.943 Å; angles 28.19, 28.19, 28.19 degrees
Fractional positions:
Pr  0.113  0.113  0.113
Pr  0.297  0.297  0.297
Pr  0.703  0.703  0.703
Pr  0.887  0.887  0.887
Ni  0.402  0.402  0.402
Ni  0.598  0.598  0.598
Hg  0.500  0.500  0.500

Calculated values
density of states at the Fermi level	1.034	states/eV per atom
symmetry	No. 166
formation energy	-0.157	eV per atom

=====

[4]
Below is crystalline Pa3Hg at its relaxed geometry, with properties calculated at the PBE level.

Cell lengths 5.661, 5.661, 5.661 Å; angles 131.99, 131.99, 70.24 degrees
Fractional positions:
Pa  0.000  0.000  0.000
Pa  0.250  0.750  0.500
Pa  0.750  0.250  0.500
Hg  0.500  0.500  0.000

Calculated values
density of states at the Fermi level	2.419	states/eV per atom
symmetry	No. 139
formation energy	0.139	eV per atom
relative energy among the computed polymorphs	0.1448	eV/atom

=====

[5]
Below is crystalline CeAl3Pt3 at its relaxed geometry, with properties calculated at the PBE level.

Cell lengths 6.809, 6.809, 6.809 Å; angles 90.00, 90.00, 90.00 degrees
Fractional positions:
Ce  0.000  0.000  0.000
Ce  0.500  0.500  0.500
Al  0.000  0.250  0.500
Al  0.000  0.750  0.500
Al  0.250  0.500  0.000
Al  0.500  0.000  0.250
Al  0.500  0.000  0.750
Al  0.750  0.500  0.000
Pt  0.000  0.500  0.250
Pt  0.000  0.500  0.750
Pt  0.250  0.000  0.500
Pt  0.500  0.250  0.000
Pt  0.500  0.750  0.000
Pt  0.750  0.000  0.500

Calculated values
density of states at the Fermi level	1.794	states/eV per atom
symmetry	No. 223
formation energy	-0.615	eV per atom

=====

[6]
Below is crystalline MgCdSi2 at its relaxed geometry, with properties calculated at the PBE level.

Cell lengths 4.771, 4.771, 4.771 Å; angles 60.00, 60.00, 60.00 degrees
Fractional positions:
Mg  0.000  0.000  0.000
Cd  0.500  0.500  0.500
Si  0.250  0.250  0.250
Si  0.750  0.750  0.750

Calculated values
density of states at the Fermi level	0.572	states/eV per atom
symmetry	No. 225
E_form (uncorrected)	378.2	meV/atom
relative energy among the computed polymorphs	0.1642	eV/atom